[1]
Sm3Sc2Pb4 GGA-PBE relaxed; ΔE_f = -429 meV per atom; space group = C2/m; DOS at the Fermi energy = 0.76 states/eV per atom; magnetic moment = 0.0000 μB per atom; volume = 264.57 Å³/cell; E_tot = -5.057 eV/atom
1.0
6.615 -2.307 0.000
6.615 2.307 0.000
-4.267 0.000 8.666
Sm Sc Pb
3 2 4
Cartesian
0.000 0.000 0.000
3.629 0.000 2.644
5.334 0.000 6.022
1.422 0.000 5.551
7.541 0.000 3.116
-0.781 0.000 3.441
0.030 0.000 8.101
8.933 0.000 0.566
9.744 0.000 5.226

***

[2]
Ca2AcIn2 GGA-PBE relaxed; ΔE_f = -302 meV per atom; space group = P2_1/m; polymorph energy (0 for the lowest one) = 0.0 meV per atom; DOS at the Fermi energy = 0.59 states/eV per atom; magnetic moment = 0.0000 μB per atom; volume = 352.49 Å³/cell; E_tot = -3.020 eV/atom
1.0
5.838 0.000 0.000
0.000 4.527 0.000
-1.481 0.000 13.336
Ca Ac In
4 2 4
Cartesian
0.753 1.132 1.480
0.720 3.396 6.945
3.637 1.132 6.392
3.603 3.396 11.857
0.749 1.132 10.232
3.608 3.396 3.105
0.718 1.132 4.614
0.618 3.396 12.971
3.739 1.132 0.365
3.639 3.396 8.722